Entry one
A geometry-optimized Rb structure. Source: Alexandria via LeMat-Bulk, functional GGA-PBE.

Cell: 10.263 10.263 10.263 Å, 90.00 90.00 90.00°
Element x y z (fractional)
1 Rb 0.125 0.125 0.125
2 Rb 0.125 0.625 0.625
3 Rb 0.375 0.375 0.875
4 Rb 0.375 0.875 0.375
5 Rb 0.625 0.125 0.625
6 Rb 0.625 0.625 0.125
7 Rb 0.875 0.375 0.375
8 Rb 0.875 0.875 0.875

***

Entry two
A geometry-optimized Rb structure. Source: Alexandria via LeMat-Bulk, functional GGA-PBE.

Cell: 5.044 5.044 7.012 Å, 90.00 90.00 90.00°
Element x y z (fractional)
1 Rb 0.000 0.000 0.000
2 Rb 0.500 0.500 0.500

***

Short version: entry two, entry one, most stable first.

***

Entry one
A geometry-optimized B5C7 structure. Source: Alexandria via LeMat-Bulk, functional GGA-PBE.

Cell: 2.548 2.548 13.841 Å, 90.00 90.00 120.00°
Element x y z (fractional)
1 B 0.000 0.000 0.000
2 B 0.000 0.000 0.121
3 B 0.333 0.667 0.197
4 B 0.333 0.667 0.656
5 B 0.667 0.333 0.924
6 C 0.000 0.000 0.498
7 C 0.000 0.000 0.608
8 C 0.333 0.667 0.311
9 C 0.333 0.667 0.773
10 C 0.667 0.333 0.348
11 C 0.667 0.333 0.461
12 C 0.667 0.333 0.809

***

Entry two
A geometry-optimized B5C7 structure. Source: Alexandria via LeMat-Bulk, functional GGA-PBE.

Cell: 3.808 2.673 8.531 Å, 90.00 90.74 90.00°
Element x y z (fractional)
1 B 0.000 0.000 0.000
2 B 0.028 0.500 0.426
3 B 0.462 0.500 0.876
4 B 0.530 0.000 0.512
5 B 0.578 0.000 0.241
6 C 0.145 0.500 0.710
7 C 0.188 0.500 0.044
8 C 0.350 0.500 0.558
9 C 0.434 0.500 0.173
10 C 0.690 0.000 0.867
11 C 0.843 0.000 0.385
12 C 0.970 0.000 0.751

***

Short version: entry two, entry one, most stable first.

***

Entry one
A geometry-optimized LaBeGe3 structure. Source: Alexandria via LeMat-Bulk, functional GGA-PBE.

Cell: 8.030 5.926 9.728 Å, 90.00 117.57 90.00°
Element x y z (fractional)
1 La 0.232 0.249 0.079
2 La 0.232 0.251 0.579
3 La 0.768 0.749 0.421
4 La 0.768 0.751 0.921
5 Be 0.172 0.747 0.444
6 Be 0.172 0.753 0.944
7 Be 0.828 0.247 0.056
8 Be 0.828 0.253 0.556
9 Ge 0.009 0.000 0.249
10 Ge 0.009 0.500 0.749
11 Ge 0.290 0.740 0.222
12 Ge 0.290 0.760 0.722
13 Ge 0.491 0.690 0.564
14 Ge 0.491 0.810 0.064
15 Ge 0.509 0.190 0.936
16 Ge 0.509 0.310 0.436
17 Ge 0.710 0.240 0.278
18 Ge 0.710 0.260 0.778
19 Ge 0.991 0.000 0.751
20 Ge 0.991 0.500 0.251

***

Entry two
A geometry-optimized LaBeGe3 structure. Source: Alexandria via LeMat-Bulk, functional GGA-PBE.

Cell: 4.118 6.287 8.445 Å, 87.94 89.95 70.91°
Element x y z (fractional)
1 La 0.000 0.000 0.000
2 La 0.308 0.383 0.343
3 Be 0.373 0.258 0.716
4 Be 0.598 0.803 0.302
5 Ge 0.015 0.970 0.357
6 Ge 0.151 0.692 0.715
7 Ge 0.297 0.408 0.964
8 Ge 0.695 0.606 0.558
9 Ge 0.699 0.603 0.072
10 Ge 0.925 0.153 0.625

***

Short version: entry two, entry one, most stable first.